First-principles (PBE) data for an optimized crystal structure of NdI3O9, as listed in the Alexandria database.

DOS at the Fermi energy = 0.00 states/eV/f.u.
crystal system = monoclinic
uncorrected formation energy = -0.9848 eV/atom

Structure (CIF):
```
data_NdI3O9
_cell_length_a 8.939
_cell_length_b 6.052
_cell_length_c 17.039
_cell_angle_alpha 90.00
_cell_angle_beta 114.71
_cell_angle_gamma 90.00
_symmetry_space_group_name_H-M 'P 1 21/c 1'
_symmetry_Int_Tables_number 14
loop_
_symmetry_equiv_pos_as_xyz
'x,y,z'
'-x,-y,-z'
'-x,y+1/2,-z+1/2'
'x,-y+1/2,z+1/2'
loop_
_atom_site_label
_atom_site_type_symbol
_atom_site_fract_x
_atom_site_fract_y
_atom_site_fract_z
Nd1 Nd 0.141 0.228 0.100
I1 I 0.068 0.186 0.352
I2 I 0.359 0.638 0.522
I3 I 0.417 0.589 0.802
O1 O 0.062 0.053 0.701
O2 O 0.093 0.095 0.460
O3 O 0.099 0.609 0.671
O4 O 0.133 0.599 0.489
O5 O 0.331 0.583 0.883
O6 O 0.346 0.183 0.254
O7 O 0.360 0.086 0.946
O8 O 0.369 0.001 0.630
O9 O 0.401 0.031 0.118
```